No. 1
A relaxed CaPrCuRh crystal, computed with GGA-PBE.

Unit cell a=4.2034 b=4.0284 c=11.1276 alpha=90.00 beta=90.00 gamma=90.00
Space group Amm2 (No. 38)
Unique sites:
Ca (0.0000, 0.0000, 0.0000)
Pr (0.5000, 0.0000, 0.7197)
Cu (0.5000, 0.0000, 0.4286)
Rh (0.0000, 0.0000, 0.2849)

Summary:
Its relative energy among the computed polymorphs is 0.000 eV per atom. The density of states at the Fermi level is 0.64 states/eV per atom. As for the formation enthalpy at 0 K: -0.40 eV/atom.

=====

No. 2
A relaxed ZnHg2Rh crystal, computed with GGA-PBE.

Unit cell a=3.1201 b=3.1201 c=26.5628 alpha=90.00 beta=90.00 gamma=120.00
Space group R-3m (No. 166, hexagonal axes)
Unique sites:
Zn (0.0000, 0.0000, 0.0000)
Hg (0.0000, 0.0000, 0.2490)
Rh (0.0000, 0.0000, 0.5000)

Summary:
The density of states at the Fermi level is 0.77 states/eV per atom. As for the formation enthalpy at 0 K: 0.23 eV/atom.

=====

No. 3
A relaxed RbLiBi4 crystal, computed with GGA-PBE.

Unit cell a=9.5518 b=9.5518 c=9.5518 alpha=90.00 beta=90.00 gamma=90.00
Space group F-43m (No. 216)
Unique sites:
Rb (0.0000, 0.0000, 0.0000)
Li (0.2500, 0.2500, 0.2500)
Bi (0.1248, 0.1248, 0.6248)

Summary:
The density of states at the Fermi level is 1.13 states/eV per atom. As for the formation enthalpy at 0 K: -0.09 eV/atom.

=====

No. 4
A relaxed AlSiPb2 crystal, computed with GGA-PBE.

Unit cell a=6.4335 b=6.4335 c=12.3489 alpha=90.00 beta=90.00 gamma=90.00
Space group I-42d (No. 122)
Unique sites:
Al (0.0000, 0.0000, 0.0000)
Si (0.0000, 0.0000, 0.5000)
Pb (0.2401, 0.2500, 0.6250)

Summary:
The density of states at the Fermi level is 0.47 states/eV per atom. The calculation puts the uncorrected formation energy at 444 meV per atom.

=====

No. 5
A relaxed Be2CdSi crystal, computed with GGA-PBE.

Unit cell a=7.6201 b=2.6926 c=6.2628 alpha=90.00 beta=111.62 gamma=90.00
Space group C2/m (No. 12)
Unique sites:
Be (0.2427, 0.0000, 0.3453)
Cd (0.0000, 0.5000, 0.0000)
Si (0.0000, 0.0000, 0.5000)

Summary:
Its relative energy among the computed polymorphs is 0.008 eV per atom. The density of states at the Fermi level is 0.13 states/eV per atom. The calculation puts the uncorrected formation energy at 414 meV per atom.

=====

No. 6
A relaxed HfBeTe crystal, computed with GGA-PBE.

Unit cell a=3.8386 b=4.8556 c=9.0258 alpha=96.52 beta=94.99 gamma=113.28
Space group P1 (No. 1)
Unique sites:
Hf (0.0000, 0.0000, 0.0000)
Hf (0.2070, 0.4936, 0.8003)
Be (0.3414, 0.6503, 0.0779)
Be (0.7143, 0.4225, 0.0119)
Te (0.6233, 0.1470, 0.2409)
Te (0.8543, 0.8467, 0.6595)

Summary:
Its relative energy among the computed polymorphs is 0.342 eV per atom. The density of states at the Fermi level is 0.44 states/eV per atom. The calculation puts the uncorrected formation energy at -247 meV per atom.

=====

No. 7
A relaxed Mn2CoMo crystal, computed with GGA-PBE.

Unit cell a=5.2247 b=7.2176 c=2.6256 alpha=90.00 beta=90.00 gamma=90.00
Space group Cmmm (No. 65)
Unique sites:
Mn (0.2500, 0.2500, 0.0000)
Co (0.0000, 0.0000, 0.5000)
Mo (0.0000, 0.5000, 0.5000)

Summary:
The density of states at the Fermi level is 1.23 states/eV per atom. As for the formation enthalpy at 0 K: 0.22 eV/atom.

=====

Repeat the fifth record exactly.
A relaxed Be2CdSi crystal, computed with GGA-PBE.

Unit cell a=7.6201 b=2.6926 c=6.2628 alpha=90.00 beta=111.62 gamma=90.00
Space group C2/m (No. 12)
Unique sites:
Be (0.2427, 0.0000, 0.3453)
Cd (0.0000, 0.5000, 0.0000)
Si (0.0000, 0.0000, 0.5000)

Summary:
Its relative energy among the computed polymorphs is 0.008 eV per atom. The density of states at the Fermi level is 0.13 states/eV per atom. The calculation puts the uncorrected formation energy at 414 meV per atom.

=====

What did the sixth record say?
A relaxed HfBeTe crystal, computed with GGA-PBE.

Unit cell a=3.8386 b=4.8556 c=9.0258 alpha=96.52 beta=94.99 gamma=113.28
Space group P1 (No. 1)
Unique sites:
Hf (0.0000, 0.0000, 0.0000)
Hf (0.2070, 0.4936, 0.8003)
Be (0.3414, 0.6503, 0.0779)
Be (0.7143, 0.4225, 0.0119)
Te (0.6233, 0.1470, 0.2409)
Te (0.8543, 0.8467, 0.6595)

Summary:
Its relative energy among the computed polymorphs is 0.342 eV per atom. The density of states at the Fermi level is 0.44 states/eV per atom. The calculation puts the uncorrected formation energy at -247 meV per atom.

=====

Which of these has the highest density of states at the Fermi level? Mn2CoMo

=====

Among the records above, which one has the highest density of states at the Fermi level? Mn2CoMo